This record from Alexandria describes a relaxed structure of YBePS2. The functional is GGA-PBEsol.

Properties
- spin magnetization (μB per atom) = 0.001
- DOS at the Fermi energy (states/eV/cell) = 6.62
- formation energy without anion corrections (eV/atom) = 0.5727

Cell lengths 5.0728, 5.0728, 5.2584 Å; angles 90.00, 90.00, 90.00 degrees
Atoms (fractional coordinates):
Y: 0.0000 0.0000 0.0000
P: 0.0000 0.0000 0.5000
S: 0.0000 0.5000 0.0000
S: 0.5000 0.0000 0.0000
Be: 0.5000 0.5000 0.5000